No. 1
Compound: BaTl4In4
Source: Alexandria
Functional: PBE-GGA
Structure: optimized geometry

abc: 7.2064 7.2064 11.3137
angles: 90.00 90.00 90.00
Fractional positions:
Tl (0.5000, 0.7769, 0.0840)
Tl (0.7769, 0.5000, 0.9160)
Tl (0.7231, 0.0000, 0.5840)
Tl (0.2769, 0.0000, 0.5840)
Tl (0.0000, 0.7231, 0.4160)
Tl (0.0000, 0.2769, 0.4160)
Tl (0.5000, 0.2231, 0.0840)
Tl (0.2231, 0.5000, 0.9160)
In (0.2852, 0.0000, 0.2982)
In (0.5000, 0.7852, 0.7982)
In (0.2148, 0.5000, 0.2018)
In (0.7148, 0.0000, 0.2982)
In (0.5000, 0.2148, 0.7982)
In (0.7852, 0.5000, 0.2018)
In (0.0000, 0.2852, 0.7018)
In (0.0000, 0.7148, 0.7018)
Ba (0.5000, 0.5000, 0.5000)
Ba (0.0000, 0.0000, 0.0000)

Crystal system: tetragonal
Space group: No. 137
Energy of formation, eV per atom: -0.073

---

No. 2
Compound: Ba2TlIn
Source: Alexandria
Functional: PBE-GGA
Structure: optimized geometry

abc: 5.8047 4.2389 6.2677
angles: 90.00 90.00 90.00
Fractional positions:
In (0.0000, 0.6249, 0.4456)
Ba (0.0000, 0.1245, 0.9165)
Ba (0.5000, 0.1257, 0.3341)
Tl (0.5000, 0.6249, 0.8036)

Crystal system: orthorhombic
Space group: No. 25
Energy of formation, eV per atom: -0.405

---

No. 3
Compound: BaTl4In4
Source: Alexandria
Functional: PBE-GGA
Structure: optimized geometry

abc: 5.1520 7.7511 7.7511
angles: 83.66 70.59 70.59
Fractional positions:
Tl (0.3214, 0.0001, 0.3570)
Tl (0.6786, 0.9999, 0.6430)
Tl (0.3215, 0.3570, 0.9999)
Tl (0.6785, 0.6430, 0.0001)
In (0.0000, 0.3514, 0.6487)
In (0.3514, 0.6487, 0.6486)
In (0.6486, 0.3513, 0.3514)
In (0.0000, 0.6486, 0.3513)
Ba (0.0000, 0.0000, 0.0000)

Crystal system: tetragonal
Space group: No. 139
Energy of formation, eV per atom: -0.144